MgCu3Mo4O12 | GGA+U | relaxed

```
data_MgCu3Mo4O12
_cell_length_a 6.632
_cell_length_b 6.632
_cell_length_c 6.632
_cell_angle_alpha 109.47
_cell_angle_beta 109.47
_cell_angle_gamma 109.47
_symmetry_space_group_name_H-M 'P 1'
_symmetry_Int_Tables_number 1
loop_
_symmetry_equiv_pos_as_xyz
'x,y,z'
loop_
_atom_site_label
_atom_site_type_symbol
_atom_site_fract_x
_atom_site_fract_y
_atom_site_fract_z
_atom_site_occupancy
O1 O 0.697 0.169 0.867 1
O2 O 0.697 0.831 0.528 1
O3 O 0.169 0.472 0.303 1
Cu1 Cu 0.500 0.000 0.500 1
Mo1 Mo 0.000 0.500 0.000 1
O4 O 0.831 0.528 0.697 1
Cu2 Cu 0.500 0.500 0.000 1
O5 O 0.303 0.831 0.133 1
O6 O 0.303 0.169 0.472 1
Cu3 Cu 0.000 0.500 0.500 1
Mo2 Mo 0.500 0.500 0.500 1
O7 O 0.831 0.133 0.303 1
Mg1 Mg 0.000 0.000 0.000 1
Mo3 Mo 0.500 0.000 0.000 1
O8 O 0.472 0.303 0.169 1
O9 O 0.133 0.303 0.831 1
O10 O 0.169 0.867 0.697 1
O11 O 0.528 0.697 0.831 1
Mo4 Mo 0.000 0.000 0.500 1
O12 O 0.867 0.697 0.169 1
```

Values from the calculation:
Crystal system ... cubic
Raw total energy ... -6.473 eV per atom